1.
Entry from the Alexandria database: TlTeRu2 after structural relaxation (GGA-PBE).

a b c (Å): 8.372 8.372 8.372
angles (deg): 22.43 22.43 22.43
Element x y z (fractional)
Ru  0.994  0.994  0.994
Ru  0.506  0.506  0.506
Te  0.250  0.250  0.250
Tl  0.750  0.750  0.750

SG   R-3m, No. 166
Formation energy without anion corrections   0.436 eV per atom
Crystal system   trigonal

---

2.
Entry from the Alexandria database: TbNp6Se8 after structural relaxation (GGA-PBE).

a b c (Å): 8.184 8.184 8.184
angles (deg): 60.00 60.00 60.00
Element x y z (fractional)
Tb  0.000  0.000  0.000
Np  0.000  0.500  0.500
Np  0.500  0.000  0.000
Np  0.500  0.500  0.000
Np  0.000  0.000  0.500
Np  0.000  0.500  0.000
Np  0.500  0.000  0.500
Se  0.750  0.750  0.750
Se  0.250  0.250  0.250
Se  0.748  0.252  0.252
Se  0.252  0.748  0.748
Se  0.252  0.252  0.748
Se  0.748  0.748  0.252
Se  0.748  0.252  0.748
Se  0.252  0.748  0.252

SG   Fm-3m, No. 225
Formation energy without anion corrections   -1.219 eV per atom
Crystal system   cubic

---

3.
Entry from the Alexandria database: BaSr after structural relaxation (GGA-PBE).

a b c (Å): 4.352 4.352 14.349
angles (deg): 90.00 90.00 120.00
Element x y z (fractional)
Sr  0.000  0.000  0.504
Sr  0.667  0.333  0.746
Ba  0.000  0.000  0.996
Ba  0.667  0.333  0.254

DFT formation energy   16 meV per atom
SG   P-3m1, No. 164
Crystal system   trigonal

---

4.
Entry from the Alexandria database: SrZn3Rh3 after structural relaxation (GGA-PBE).

a b c (Å): 6.788 6.788 6.788
angles (deg): 90.00 90.00 90.00
Element x y z (fractional)
Sr  0.500  0.500  0.500
Sr  0.000  0.000  0.000
Zn  0.000  0.250  0.500
Zn  0.000  0.750  0.500
Zn  0.500  0.000  0.750
Zn  0.750  0.500  0.000
Zn  0.500  0.000  0.250
Zn  0.250  0.500  0.000
Rh  0.250  0.000  0.500
Rh  0.000  0.500  0.250
Rh  0.500  0.750  0.000
Rh  0.750  0.000  0.500
Rh  0.000  0.500  0.750
Rh  0.500  0.250  0.000

DFT formation energy   111 meV per atom
SG   Pm-3n, No. 223
Crystal system   cubic

---

5.
Entry from the Alexandria database: Sr2InTc after structural relaxation (GGA-PBE).

a b c (Å): 3.737 3.737 8.912
angles (deg): 90.00 90.00 90.00
Element x y z (fractional)
In  0.500  0.500  0.675
Sr  0.000  0.000  0.923
Sr  0.500  0.500  0.326
Tc  0.000  0.000  0.576

DFT formation energy   253 meV per atom
SG   P4mm, No. 99
Crystal system   tetragonal

---

| no. | uncorrected energy (eV per atom) |
| --- | --- |
| 1 | -5.58 |
| 2 | -8.56 |
| 3 | -1.79 |
| 4 | -3.83 |
| 5 | -3.86 |